Record 1
# PBE PmCuSeO4, relaxed
data_PmCuSeO4
_chemical_formula_sum 'Pm4 Cu4 Se4 O16'
_cell_length_a 7.327
_cell_length_b 7.445
_cell_length_c 7.849
_cell_angle_alpha 90.00
_cell_angle_beta 90.00
_cell_angle_gamma 90.00
_symmetry_space_group_name_H-M 'I m m a'
_symmetry_Int_Tables_number 74
_symmetry_space_group_name_Hall '-I 2b 2'
loop_
_atom_site_label
_atom_site_fract_x
_atom_site_fract_y
_atom_site_fract_z
Pm1 0.000 0.000 0.000
Cu1 0.250 0.250 0.250
Se1 0.000 0.250 0.566
O1 0.000 0.069 0.699
O2 0.202 0.250 0.020
# - ρ (Mg/m³) = 5.45

***

Record 2
# PBE Pm2CuSiO6, relaxed
data_Pm2CuSiO6
_chemical_formula_sum 'Pm2 Cu1 Si1 O6'
_cell_length_a 5.395
_cell_length_b 5.395
_cell_length_c 3.730
_cell_angle_alpha 90.00
_cell_angle_beta 90.00
_cell_angle_gamma 90.00
_symmetry_space_group_name_H-M 'P 4/m m m'
_symmetry_Int_Tables_number 123
_symmetry_space_group_name_Hall '-P 4 2'
loop_
_atom_site_label
_atom_site_fract_x
_atom_site_fract_y
_atom_site_fract_z
Pm1 0.000 0.500 0.000
Cu1 0.000 0.000 0.500
Si1 0.500 0.500 0.500
O1 0.000 0.000 0.000
O2 0.271 0.271 0.500
O3 0.500 0.500 0.000
# - ρ (Mg/m³) = 7.30

***

Record 3
# PBE Pm2CuSnO6, relaxed
data_Pm2CuSnO6
_chemical_formula_sum 'Pm4 Cu2 Sn2 O12'
_cell_length_a 10.484
_cell_length_b 5.464
_cell_length_c 5.448
_cell_angle_alpha 90.00
_cell_angle_beta 120.36
_cell_angle_gamma 90.00
_symmetry_space_group_name_H-M 'C 1 2/m 1'
_symmetry_Int_Tables_number 12
loop_
_symmetry_equiv_pos_as_xyz
'x,y,z'
'-x,-y,-z'
'-x,y,-z'
'x,-y,z'
'x+1/2,y+1/2,z'
'-x+1/2,-y+1/2,-z'
'-x+1/2,y+1/2,-z'
'x+1/2,-y+1/2,z'
loop_
_atom_site_label
_atom_site_fract_x
_atom_site_fract_y
_atom_site_fract_z
Pm1 0.247 0.000 0.215
Cu1 0.000 0.500 0.000
Sn1 0.000 0.000 0.500
O1 0.076 0.256 0.835
O2 0.217 0.000 0.599
# - ρ (Mg/m³) = 7.01

***

Record 4
# PBE Sr2PmCuO5, relaxed
data_Sr2PmCuO5
_chemical_formula_sum 'Sr8 Pm4 Cu4 O20'
_cell_length_a 6.588
_cell_length_b 6.588
_cell_length_c 11.674
_cell_angle_alpha 90.00
_cell_angle_beta 90.00
_cell_angle_gamma 90.00
_symmetry_space_group_name_H-M 'I 4/m c m'
_symmetry_Int_Tables_number 140
_symmetry_space_group_name_Hall '-I 4 2c'
loop_
_atom_site_label
_atom_site_fract_x
_atom_site_fract_y
_atom_site_fract_z
Sr1 0.165 0.335 0.000
Pm1 0.000 0.000 0.250
Cu1 0.000 0.500 0.250
O1 0.000 0.000 0.000
O2 0.157 0.343 0.351
# - ρ (Mg/m³) = 6.08

***

Computed values of E (unit: eV/cell) for the preceding records, in sequence: -173.10; -73.92; -140.05; -223.00.
Computed values of energy relative to the elements, uncorrected (unit: eV/atom) for the preceding records, in sequence: -1.5874; -2.5147; -2.2677; -2.0831.